First-principles (PBE) data for a geometry-optimized Ba2Si2Hg structure, as listed in Alexandria.

Calculated values
The calculation puts the formation energy without anion corrections at -0.1104 eV per atom. As for the energy relative to the lowest polymorph listed for this composition: 299 meV per atom. As for the space group: I4/mmm (139).

Lattice parameters (Å, degrees): 6.3566 6.3566 6.3566 120.52 120.52 89.10
With the nearest neighbours (Å) after each atom.
Fractional positions:
Ba 0.2500 0.7500 0.5000  4 Si 3.35
Ba 0.7500 0.2500 0.5000  4 Si 3.35
Si 0.1241 0.1241 0.0000  1 Si 2.25
Si 0.8759 0.8759 0.0000  1 Si 2.25
Hg 0.5000 0.5000 0.0000  2 Si 3.41